An optimized crystal structure of InTeAu2. Source: Alexandria, functional PBE-GGA.

POSCAR file:
```
InTeAu2
1.0
3.666 -2.061 0.000
3.666 2.061 0.000
-2.262 0.000 6.357
In Te Au
1 1 2
Direct
0.000 0.000 0.000
0.500 0.500 0.500
0.252 0.252 0.758
0.748 0.748 0.242
```

Energy relative to the elements, uncorrected ... -92 meV/atom
Excess energy over the best structure of this formula in the dataset ... 0.32 kJ/mol of atoms
Volume ... 24.012 A^3/atom
Space group ... C2/m, No. 12

***

An optimized crystal structure of InTeAu2. Source: Alexandria, functional PBE-GGA.

POSCAR file:
```
InTeAu2
1.0
2.098 1.211 6.451
-2.098 1.211 6.451
0.000 -2.422 6.451
In Te Au
1 1 2
Direct
0.000 0.000 0.000
0.224 0.224 0.224
0.482 0.482 0.482
0.739 0.739 0.739
```

Energy relative to the elements, uncorrected ... -78 meV/atom
Excess energy over the best structure of this formula in the dataset ... 1.64 kJ/mol of atoms
Volume ... 24.586 A^3/atom
Space group ... R3m, No. 160

***

An optimized crystal structure of InTe2Au. Source: Alexandria, functional PBE-GGA.

POSCAR file:
```
InTe2Au
1.0
8.533 0.000 0.000
0.000 4.291 0.000
0.000 0.000 11.977
In Te Au
4 8 4
Direct
0.174 0.250 0.241
0.326 0.750 0.741
0.674 0.250 0.259
0.826 0.750 0.759
0.078 0.250 0.779
0.146 0.250 0.496
0.354 0.750 0.996
0.422 0.750 0.279
0.578 0.250 0.721
0.646 0.250 0.004
0.854 0.750 0.504
0.922 0.750 0.221
0.125 0.250 0.007
0.375 0.750 0.507
0.625 0.250 0.493
0.875 0.750 0.993
```

Energy relative to the elements, uncorrected ... -110 meV/atom
Volume ... 27.408 A^3/atom
Space group ... Pnma, No. 62